A geometry-optimized LaRe2Mo2 structure, computed with PBE-GGA.

a b c (Å): 6.1278 6.1278 6.1278
angles (deg): 137.80 137.80 61.20
Last column: nearest neighbours and their distance in Å.
Fractional coordinates of all 5 atoms:
La1 0.0000 0.0000 0.0000  8 Re 3.38, 8 Mo 3.44
Re1 0.3759 0.3759 0.0000  4 Mo 2.57, 1 Re 2.62
Re2 0.6241 0.6241 0.0000  4 Mo 2.57, 1 Re 2.62
Mo1 0.2500 0.7500 0.5000  4 Re 2.57
Mo2 0.7500 0.2500 0.5000  4 Re 2.57

Calculated values
The calculation puts the formation enthalpy at 0 K at 0.10 eV/atom. The volume comes out at 20.53 A^3/atom. Its magnetic moment is 0.0 Bohr magnetons per cell.


A geometry-optimized LaReMo structure, computed with PBE-GGA.

a b c (Å): 4.4780 4.4780 4.4780
angles (deg): 60.00 60.00 60.00
Last column: nearest neighbours and their distance in Å.
Fractional coordinates of all 3 atoms:
La1 0.0000 0.0000 0.0000  4 Mo 2.74, 4 Re 2.74
Re1 0.7500 0.7500 0.7500  4 La 2.74
Mo1 0.2500 0.2500 0.2500  4 La 2.74

Calculated values
For the energy above the most stable polymorph in this dataset, the calculation gives 1587 meV per atom. The calculation puts the formation enthalpy at 0 K at 1.86 eV/atom. The volume comes out at 21.16 A^3/atom. Its magnetic moment is 0.0 Bohr magnetons per cell.


A geometry-optimized LaRe4Mo structure, computed with PBE-GGA.

a b c (Å): 5.3567 5.3567 5.3567
angles (deg): 60.00 60.00 60.00
Last column: nearest neighbours and their distance in Å.
Fractional coordinates of all 6 atoms:
La1 0.0000 0.0000 0.0000  12 Re 3.14, 4 Mo 3.28
Re1 0.3750 0.3750 0.3750  6 Re 2.68
Re2 0.3750 0.3750 0.8749  6 Re 2.68
Re3 0.3750 0.8749 0.3750  6 Re 2.68
Re4 0.8749 0.3750 0.3750  6 Re 2.68
Mo1 0.7500 0.7500 0.7500  12 Re 3.14, 4 La 3.28

Calculated values
The calculation puts the formation enthalpy at 0 K at 0.39 eV/atom. The volume comes out at 18.11 A^3/atom. Its magnetic moment is 0.0 Bohr magnetons per cell.


A geometry-optimized LaReMo structure, computed with PBE-GGA.

a b c (Å): 4.6130 4.6130 3.1614
angles (deg): 90.00 90.00 120.00
Last column: nearest neighbours and their distance in Å.
Fractional coordinates of all 3 atoms:
La1 0.0000 0.0000 0.0000  3 Mo 2.87, 3 Re 2.91, 2 La 3.16
Re1 0.6667 0.3333 0.6327  3 Mo 2.83, 3 La 2.91, 2 Re 3.16
Mo1 0.3333 0.6667 0.3342  3 Re 2.83, 3 La 2.87, 2 Mo 3.16

Calculated values
For the energy above the most stable polymorph in this dataset, the calculation gives 401 meV per atom. The calculation puts the formation enthalpy at 0 K at 0.67 eV/atom. The volume comes out at 19.42 A^3/atom. Its magnetic moment is 0.0 Bohr magnetons per cell.


A geometry-optimized LaReMo structure, computed with PBE-GGA.

a b c (Å): 6.4629 6.4629 6.4629
angles (deg): 151.24 151.24 41.13
Last column: nearest neighbours and their distance in Å.
Fractional coordinates of all 3 atoms:
La1 0.0000 0.0000 0.0000  4 La 3.21, 4 Re 3.27, 4 Mo 3.33
Re1 0.6950 0.6950 0.0000  4 Mo 2.59
Mo1 0.2986 0.2986 0.0000  4 Re 2.59

Calculated values
For the energy above the most stable polymorph in this dataset, the calculation gives 0 meV per atom. The calculation puts the formation enthalpy at 0 K at 0.27 eV/atom. The volume comes out at 20.79 A^3/atom. Its magnetic moment is 0.0 Bohr magnetons per cell.


A geometry-optimized LaReMo structure, computed with PBE-GGA.

a b c (Å): 4.5880 4.5880 4.5880
angles (deg): 60.00 60.00 60.00
Last column: nearest neighbours and their distance in Å.
Fractional coordinates of all 3 atoms:
La1 0.0000 0.0000 0.0000  4 Re 2.81
Re1 0.7500 0.7500 0.7500  4 La 2.81, 4 Mo 2.81
Mo1 0.5000 0.5000 0.5000  4 Re 2.81

Calculated values
For the energy above the most stable polymorph in this dataset, the calculation gives 482 meV per atom. The calculation puts the formation enthalpy at 0 K at 0.75 eV/atom. The volume comes out at 22.76 A^3/atom. Its magnetic moment is 0.0 Bohr magnetons per cell.


A geometry-optimized LaReMo structure, computed with PBE-GGA.

a b c (Å): 7.7129 7.4816 2.9531
angles (deg): 83.23 74.42 22.35
Last column: nearest neighbours and their distance in Å.
Fractional coordinates of all 3 atoms:
La1 0.0000 0.0000 0.0000  6 La 2.95-3.23, 2 Re 3.08, 2 Mo 3.17
Re1 0.3208 0.3208 0.6792  2 Mo 2.54
Mo1 0.6865 0.6865 0.3135  2 Re 2.54

Calculated values
For the energy above the most stable polymorph in this dataset, the calculation gives 255 meV per atom. The calculation puts the formation enthalpy at 0 K at 0.52 eV/atom. The volume comes out at 19.44 A^3/atom. Its magnetic moment is 0.0 Bohr magnetons per cell.


A geometry-optimized LaReMo4 structure, computed with PBE-GGA.

a b c (Å): 5.3904 5.3904 5.3904
angles (deg): 60.00 60.00 60.00
Last column: nearest neighbours and their distance in Å.
Fractional coordinates of all 6 atoms:
La1 0.0000 0.0000 0.0000  12 Mo 3.16, 4 Re 3.30
Re1 0.2500 0.2500 0.2500  12 Mo 3.16, 4 La 3.30
Mo1 0.1252 0.6249 0.6249  6 Mo 2.69-2.70
Mo2 0.6249 0.1252 0.6249  6 Mo 2.69-2.70
Mo3 0.6249 0.6249 0.1252  6 Mo 2.69-2.70
Mo4 0.6249 0.6249 0.6249  6 Mo 2.69-2.70

Calculated values
The calculation puts the formation enthalpy at 0 K at 0.54 eV/atom. The volume comes out at 18.46 A^3/atom. Its magnetic moment is 0.0 Bohr magnetons per cell.


A geometry-optimized LaZrRe2Mo structure, computed with PBE-GGA.

a b c (Å): 4.8251 4.8251 5.0321
angles (deg): 90.00 90.00 90.00
Last column: nearest neighbours and their distance in Å.
Fractional coordinates of all 5 atoms:
La1 0.0000 0.0000 0.0000  2 Mo 2.52
Zr1 0.5000 0.5000 0.0000  4 La 3.41, 8 Re 3.49
Re1 0.0000 0.5000 0.5000  2 Mo 2.41
Re2 0.5000 0.0000 0.5000  2 Mo 2.41
Mo1 0.0000 0.0000 0.5000  4 Re 2.41, 2 La 2.52

Calculated values
The calculation puts the formation enthalpy at 0 K at 1.36 eV/atom. The volume comes out at 23.43 A^3/atom. Its magnetic moment is 0.0 Bohr magnetons per cell.


A geometry-optimized LaMo2Rh structure, computed with PBE-GGA.

a b c (Å): 10.2934 10.2934 10.2934
angles (deg): 16.17 16.17 16.17
Last column: nearest neighbours and their distance in Å.
Fractional coordinates of all 4 atoms:
La1 0.0000 0.0000 0.0000  6 La 2.90
Mo1 0.2377 0.2377 0.2377  3 Rh 2.74, 6 Mo 2.90
Mo2 0.7623 0.7623 0.7623  3 Rh 2.74, 6 Mo 2.90
Rh1 0.5000 0.5000 0.5000  6 Mo 2.74, 6 Rh 2.90

Calculated values
For the energy above the most stable polymorph in this dataset, the calculation gives 467 meV per atom. The calculation puts the formation enthalpy at 0 K at 0.58 eV/atom. The volume comes out at 18.44 A^3/atom. Its magnetic moment is 0.0 Bohr magnetons per cell.


A geometry-optimized LaMoRh2 structure, computed with PBE-GGA.

a b c (Å): 5.8000 5.8000 5.8000
angles (deg): 43.70 43.70 43.70
Last column: nearest neighbours and their distance in Å.
Fractional coordinates of all 4 atoms:
La1 0.0000 0.0000 0.0000  8 Rh 3.16-3.29
Mo1 0.5000 0.5000 0.5000  6 Rh 2.58
Rh1 0.2093 0.2093 0.2093  3 Mo 2.58, 3 Rh 2.83
Rh2 0.7907 0.7907 0.7907  3 Mo 2.58, 3 Rh 2.83

Calculated values
For the energy above the most stable polymorph in this dataset, the calculation gives 0 meV per atom. The calculation puts the formation enthalpy at 0 K at -0.19 eV/atom. The volume comes out at 21.12 A^3/atom. Its magnetic moment is 0.0 Bohr magnetons per cell.


A geometry-optimized LaMoRh2 structure, computed with PBE-GGA.

a b c (Å): 5.1400 5.1400 5.1400
angles (deg): 132.48 132.48 69.47
Last column: nearest neighbours and their distance in Å.
Fractional coordinates of all 4 atoms:
La1 0.0000 0.0000 0.0000  8 Rh 2.93-2.96, 4 Mo 2.96
Mo1 0.2500 0.7500 0.5000  8 Rh 2.93-2.96, 4 La 2.96
Rh1 0.5000 0.5000 0.0000  4 La 2.93, 4 Mo 2.96, 4 Rh 2.96
Rh2 0.7500 0.2500 0.5000  4 Mo 2.93, 4 La 2.96, 4 Rh 2.96

Calculated values
For the energy above the most stable polymorph in this dataset, the calculation gives 328 meV per atom. The calculation puts the formation enthalpy at 0 K at 0.14 eV/atom. The volume comes out at 18.11 A^3/atom. Its magnetic moment is 0.0 Bohr magnetons per cell.


A geometry-optimized La2MoRh2 structure, computed with PBE-GGA.

a b c (Å): 6.9225 6.9225 4.6741
angles (deg): 90.00 90.00 90.00
Last column: nearest neighbours and their distance in Å.
Fractional coordinates of all 10 atoms:
La1 0.1746 0.3254 0.0000  6 Rh 2.91-3.24
La2 0.3254 0.8254 0.0000  6 Rh 2.91-3.24
La3 0.6746 0.1746 0.0000  6 Rh 2.91-3.24
La4 0.8254 0.6746 0.0000  6 Rh 2.91-3.24
Mo1 0.0000 0.0000 0.5000  4 Rh 2.65
Mo2 0.5000 0.5000 0.5000  4 Rh 2.65
Rh1 0.1476 0.6476 0.5000  2 Mo 2.65, 1 Rh 2.89, 2 La 2.91
Rh2 0.3524 0.1476 0.5000  2 Mo 2.65, 1 Rh 2.89, 2 La 2.91
Rh3 0.6476 0.8524 0.5000  2 Mo 2.65, 1 Rh 2.89, 2 La 2.91
Rh4 0.8524 0.3524 0.5000  2 Mo 2.65, 1 Rh 2.89, 2 La 2.91

Calculated values
The calculation puts the formation enthalpy at 0 K at -0.20 eV/atom. The volume comes out at 22.40 A^3/atom. Its magnetic moment is 0.0 Bohr magnetons per cell.


A geometry-optimized LaMoRh structure, computed with PBE-GGA.

a b c (Å): 4.7192 4.7192 2.9229
angles (deg): 90.00 90.00 120.00
Last column: nearest neighbours and their distance in Å.
Fractional coordinates of all 3 atoms:
La1 0.0000 0.0000 0.0000  3 Mo 2.78, 3 Rh 2.92, 2 La 2.92
Mo1 0.6667 0.3333 0.1856  3 La 2.78, 2 Mo 2.92, 3 Rh 3.03
Rh1 0.3333 0.6667 0.6402  3 La 2.92, 2 Rh 2.92, 6 Mo 3.03-3.16

Calculated values
For the energy above the most stable polymorph in this dataset, the calculation gives 329 meV per atom. The calculation puts the formation enthalpy at 0 K at 0.39 eV/atom. The volume comes out at 18.79 A^3/atom. Its magnetic moment is 0.0 Bohr magnetons per cell.


A geometry-optimized LaMo2Rh structure, computed with PBE-GGA.

a b c (Å): 5.8161 5.8161 5.8161
angles (deg): 140.79 140.79 56.65
Last column: nearest neighbours and their distance in Å.
Fractional coordinates of all 4 atoms:
La1 0.0000 0.0000 0.0000  4 Rh 2.76
Mo1 0.2500 0.7500 0.5000  4 Mo 2.76
Mo2 0.7500 0.2500 0.5000  4 Mo 2.76
Rh1 0.5000 0.5000 0.0000  4 La 2.76

Calculated values
For the energy above the most stable polymorph in this dataset, the calculation gives 292 meV per atom. The calculation puts the formation enthalpy at 0 K at 0.40 eV/atom. The volume comes out at 19.49 A^3/atom. Its magnetic moment is 0.0 Bohr magnetons per cell.


A geometry-optimized LaMoRh2 structure, computed with PBE-GGA.

a b c (Å): 5.0381 5.0381 5.1575
angles (deg): 96.55 96.55 34.89
Last column: nearest neighbours and their distance in Å.
Fractional coordinates of all 4 atoms:
La1 0.0000 0.0000 0.0000  7 Rh 2.72-3.03, 1 Mo 2.95, 2 La 3.02
Mo1 0.7852 0.7852 0.3645  5 Rh 2.67-2.79, 1 La 2.95
Rh1 0.2417 0.2417 0.7752  2 Mo 2.67, 1 La 2.72, 2 Rh 2.91
Rh2 0.5119 0.5119 0.4943  3 Mo 2.67-2.79, 2 Rh 2.91, 2 La 2.95

Calculated values
For the energy above the most stable polymorph in this dataset, the calculation gives 187 meV per atom. The calculation puts the formation enthalpy at 0 K at -0.01 eV/atom. The volume comes out at 18.59 A^3/atom. Its magnetic moment is 0.0 Bohr magnetons per cell.


A geometry-optimized LaMoRh2 structure, computed with PBE-GGA.

a b c (Å): 9.8624 9.8624 9.8624
angles (deg): 17.06 17.06 17.06
Last column: nearest neighbours and their distance in Å.
Fractional coordinates of all 4 atoms:
La1 0.0000 0.0000 0.0000  6 La 2.93, 3 Rh 3.02
Mo1 0.7670 0.7670 0.7670  3 Rh 2.63, 6 Mo 2.93
Rh1 0.2475 0.2475 0.2475  9 Rh 2.84-2.93, 3 La 3.02
Rh2 0.5027 0.5027 0.5027  3 Mo 2.63, 9 Rh 2.84-2.93

Calculated values
For the energy above the most stable polymorph in this dataset, the calculation gives 593 meV per atom. The calculation puts the formation enthalpy at 0 K at 0.40 eV/atom. The volume comes out at 18.00 A^3/atom. Its magnetic moment is 0.6 Bohr magnetons per cell.


A geometry-optimized LaMo2Rh structure, computed with PBE-GGA.

a b c (Å): 2.9546 2.9546 9.0408
angles (deg): 90.00 90.00 110.13
Last column: nearest neighbours and their distance in Å.
Fractional coordinates of all 4 atoms:
La1 0.0000 0.0000 0.0000  2 Rh 2.95, 4 La 2.95, 2 Mo 3.16
Mo1 0.0000 0.0000 0.5108  2 Mo 2.58, 2 Rh 2.62
Mo2 0.5000 0.5000 0.2954  2 Mo 2.58
Rh1 0.5000 0.5000 0.7322  2 Mo 2.62

Calculated values
For the energy above the most stable polymorph in this dataset, the calculation gives 140 meV per atom. The calculation puts the formation enthalpy at 0 K at 0.25 eV/atom. The volume comes out at 18.53 A^3/atom. Its magnetic moment is 0.0 Bohr magnetons per cell.


A geometry-optimized LaMoRh2 structure, computed with PBE-GGA.

a b c (Å): 3.3229 3.3229 6.9257
angles (deg): 90.00 90.00 90.00
Last column: nearest neighbours and their distance in Å.
Fractional coordinates of all 4 atoms:
La1 0.0000 0.0000 0.0000  4 Rh 3.00, 4 La 3.32, 4 Mo 3.34
Mo1 0.5000 0.5000 0.3432  5 Rh 2.59-2.69
Rh1 0.0000 0.0000 0.5011  4 Mo 2.59, 4 Rh 2.84
Rh2 0.5000 0.5000 0.7317  1 Mo 2.69, 4 Rh 2.84, 4 La 3.00

Calculated values
For the energy above the most stable polymorph in this dataset, the calculation gives 253 meV per atom. The calculation puts the formation enthalpy at 0 K at 0.06 eV/atom. The volume comes out at 19.12 A^3/atom. Its magnetic moment is 0.0 Bohr magnetons per cell.


A geometry-optimized LaMo2Rh structure, computed with PBE-GGA.

a b c (Å): 3.5036 4.2396 5.1775
angles (deg): 90.00 90.00 90.00
Last column: nearest neighbours and their distance in Å.
Fractional coordinates of all 4 atoms:
La1 0.0000 0.0000 0.0000  4 Rh 2.75
Mo1 0.0000 0.5000 0.5000  4 Mo 2.75
Mo2 0.5000 0.0000 0.5000  4 Mo 2.75
Rh1 0.5000 0.5000 0.0000  4 La 2.75

Calculated values
For the energy above the most stable polymorph in this dataset, the calculation gives 217 meV per atom. The calculation puts the formation enthalpy at 0 K at 0.33 eV/atom. The volume comes out at 19.23 A^3/atom. Its magnetic moment is 0.0 Bohr magnetons per cell.